Entry 1:
Material: YCuIr2Br
Method: DFT, PBE
State: relaxed

Results
Magnetic moment, μB/f.u.: 0.00
E_form (uncorrected), eV per atom: 0.764
Energy, eV/cell: -26.133

Cell lengths 4.795, 4.795, 4.423 Å; angles 90.00, 90.00, 90.00 degrees
Space group P4/mmm (No. 123)
One atom of each set of equivalent atoms:
Y 0.000 0.000 0.000 x1
Cu 0.500 0.500 0.000 x1
Ir 0.000 0.500 0.500 x2
Br 0.500 0.500 0.500 x1

Entry 2:
Material: SrLi2Ga2
Method: DFT, PBE
State: relaxed

Results
Magnetic moment, μB/f.u.: 0.00
Excess energy over the best structure of this formula in the dataset, meV per atom: 14
Energy relative to the elements, kcal/mol of atoms: -6.9
Energy, eV/cell: -26.107

Cell lengths 4.853, 4.853, 9.475 Å; angles 90.00, 90.00, 90.00 degrees
Space group I4/mmm (No. 139)
One atom of each set of equivalent atoms:
Sr 0.000 0.000 0.000 x2
Li 0.000 0.500 0.250 x4
Ga 0.000 0.000 0.371 x4